No. 1
Entry from the Alexandria database: a relaxed TaSb2PdI crystal (PBE).

Geometry as POSCAR:
```
TaSb2PdI
1.0
5.3430 0.0000 0.0000
0.0000 5.3430 0.0000
0.0000 0.0000 5.5233
Ta Sb Pd I
1 2 1 1
direct
0.0000 0.0000 0.0000 Ta
0.0000 0.5000 0.0000 Sb
0.5000 0.0000 0.0000 Sb
0.5000 0.5000 0.5000 Pd
0.0000 0.0000 0.5000 I
```

- volume (Å³/atom) = 31.54
- ΔE to the lowest computed polymorph (meV per atom) = 0
- formation energy (no corrections) (eV per atom) = 0.738
- symmetry = P4/mmm
- calculated total energy (eV for the cell shown) = -23.15


No. 2
Entry from the Alexandria database: a relaxed TcSnAu3 crystal (PBE).

Geometry as POSCAR:
```
TcSnAu3
1.0
5.0577 0.0000 0.0000
0.0000 5.0577 0.0000
0.0000 0.0000 5.0577
Tc Sn Au
1 1 3
direct
0.0000 0.0000 0.0000 Tc
0.5000 0.5000 0.5000 Sn
0.0000 0.0000 0.5000 Au
0.0000 0.5000 0.0000 Au
0.5000 0.0000 0.0000 Au
```

- volume (Å³/atom) = 25.88
- energy relative to the elements (eV/atom) = 0.93
- ΔE to the lowest computed polymorph (meV per atom) = 0
- symmetry = Pm-3m
- calculated total energy (eV for the cell shown) = -19.54


No. 3
Entry from the Alexandria database: a relaxed Tm2Si3Pd2 crystal (PBE).

Geometry as POSCAR:
```
Tm2Si3Pd2
1.0
2.0521 -8.8113 0.0000
2.0521 8.8113 0.0000
0.0000 0.0000 6.8773
Tm Si Pd
4 6 4
direct
0.0545 0.9455 0.7500 Tm
0.1541 0.8459 0.2500 Tm
0.8459 0.1541 0.7500 Tm
0.9455 0.0545 0.2500 Tm
0.2245 0.7755 0.7500 Si
0.4403 0.5597 0.5731 Si
0.4403 0.5597 0.9269 Si
0.5597 0.4403 0.0731 Si
0.5597 0.4403 0.4269 Si
0.7755 0.2245 0.2500 Si
0.3091 0.6909 0.0480 Pd
0.3091 0.6909 0.4520 Pd
0.6909 0.3091 0.5480 Pd
0.6909 0.3091 0.9520 Pd
```

- volume (Å³/atom) = 17.76
- ΔE to the lowest computed polymorph (meV per atom) = 0
- formation energy (no corrections) (eV per atom) = -0.903
- symmetry = Cmcm
- calculated total energy (eV for the cell shown) = -83.84